No. 1
VASP calculation (PBEsol) on ZrCuSb3 after structural relaxation.

```
data_ZrCuSb3
_cell_length_a 4.9607
_cell_length_b 4.9607
_cell_length_c 4.9607
_cell_angle_alpha 90.00
_cell_angle_beta 90.00
_cell_angle_gamma 90.00
_space_group_name_H-M_alt 'P m -3 m'
_space_group_IT_number 221
_space_group_name_Hall '-P 4 2 3'
loop_
_atom_site_label
_atom_site_type_symbol
_atom_site_fract_x
_atom_site_fract_y
_atom_site_fract_z
_atom_site_occupancy
Zr1 Zr 0.0000 0.0000 0.0000 1
Cu1 Cu 0.5000 0.5000 0.5000 1
Sb1 Sb 0.0000 0.5000 0.5000 1
```

Values from the calculation:
**Total DFT energy (no corrections)**: -24.89 eV for the cell shown
**DOS(E_F)**: 4.4 states/eV/f.u.
**Formation energy without anion corrections**: 213 kJ/mol of formula units

=====

No. 2
VASP calculation (PBEsol) on ZrCuSb after structural relaxation.

```
data_ZrCuSb
_cell_length_a 3.3333
_cell_length_b 3.3333
_cell_length_c 10.1161
_cell_angle_alpha 90.00
_cell_angle_beta 90.00
_cell_angle_gamma 90.00
_space_group_name_H-M_alt 'I 4 m m'
_space_group_IT_number 107
_space_group_name_Hall 'I 4 -2'
loop_
_atom_site_label
_atom_site_type_symbol
_atom_site_fract_x
_atom_site_fract_y
_atom_site_fract_z
_atom_site_occupancy
Zr1 Zr 0.0000 0.0000 0.0000 1
Cu1 Cu 0.0000 0.0000 0.6566 1
Sb1 Sb 0.0000 0.0000 0.3001 1
```

Values from the calculation:
**Total DFT energy (no corrections)**: -37.04 eV for the cell shown
**DOS(E_F)**: 2.4 states/eV/f.u.
**Formation energy without anion corrections**: -52 kJ/mol of formula units

=====

No. 3
VASP calculation (PBEsol) on ZrCuSb after structural relaxation.

```
data_ZrCuSb
_cell_length_a 4.1711
_cell_length_b 4.1711
_cell_length_c 3.7584
_cell_angle_alpha 90.00
_cell_angle_beta 90.00
_cell_angle_gamma 120.00
_space_group_name_H-M_alt 'P 3 m 1'
_space_group_IT_number 156
_space_group_name_Hall 'P 3 -2"'
loop_
_atom_site_label
_atom_site_type_symbol
_atom_site_fract_x
_atom_site_fract_y
_atom_site_fract_z
_atom_site_occupancy
Zr1 Zr 0.0000 0.0000 0.0000 1
Cu1 Cu 0.3333 0.6667 0.6377 1
Sb1 Sb 0.6667 0.3333 0.4733 1
```

Values from the calculation:
**Total DFT energy (no corrections)**: -19.26 eV for the cell shown
**DOS(E_F)**: 0.2 states/eV/f.u.
**Formation energy without anion corrections**: -123 kJ/mol of formula units

=====

No. 4
VASP calculation (PBEsol) on Sc2Cu after structural relaxation.

```
data_Sc2Cu
_cell_length_a 3.3247
_cell_length_b 11.5941
_cell_length_c 6.1387
_cell_angle_alpha 90.00
_cell_angle_beta 90.00
_cell_angle_gamma 90.00
_space_group_name_H-M_alt 'C m c 21'
_space_group_IT_number 36
_space_group_name_Hall 'C 2c -2'
loop_
_atom_site_label
_atom_site_type_symbol
_atom_site_fract_x
_atom_site_fract_y
_atom_site_fract_z
_atom_site_occupancy
Sc1 Sc 0.0000 0.0272 0.0000 1
Sc2 Sc 0.0000 0.2957 0.1835 1
Cu1 Cu 0.0000 0.3807 0.7743 1
```

Values from the calculation:
**Total DFT energy (no corrections)**: -71.31 eV for the cell shown
**DOS(E_F)**: 3.8 states/eV/f.u.
**Formation energy**: -0.09 eV/atom